[1]
Entry from Alexandria: a geometry-optimized AcTePtS structure (PBE).

Computed properties:
Formation energy (no corrections)   -4.8 eV per formula unit

Geometry as extended XYZ:
```
8
Lattice="2.340 1.351 11.728 -2.340 1.351 11.728 0.000 -2.702 11.728" Properties=species:S:1:pos:R:3 pbc="T T T"
Ac 0.000 0.000 3.812
Ac 0.000 0.000 31.372
Te 0.000 0.000 10.400
Te 0.000 0.000 24.784
Pt 0.000 0.000 13.176
Pt 0.000 0.000 22.009
S 0.000 0.000 6.900
S 0.000 0.000 28.284
```

---

[2]
Entry from Alexandria: a geometry-optimized SrNd4Se5 structure (PBE).

Computed properties:
Formation energy (no corrections)   -18.7 eV per formula unit

Geometry as extended XYZ:
```
10
Lattice="-2.130 2.130 15.123 2.130 -2.130 15.123 2.130 2.130 -15.123" Properties=species:S:1:pos:R:3 pbc="T T T"
Sr 0.000 0.000 0.000
Nd 0.000 0.000 6.072
Nd 0.000 0.000 12.019
Nd 0.000 0.000 18.227
Nd 0.000 0.000 24.174
Se 0.000 0.000 3.060
Se 0.000 0.000 9.057
Se 0.000 0.000 15.123
Se 0.000 0.000 21.189
Se 0.000 0.000 27.187
```

---

[3]
Entry from Alexandria: a geometry-optimized Sr2PmNdSe4 structure (PBE).

Computed properties:
Formation energy (no corrections)   -15.4 eV per formula unit

Geometry as extended XYZ:
```
8
Lattice="7.406 0.000 0.000 0.000 4.281 0.000 -2.473 0.000 7.171" Properties=species:S:1:pos:R:3 pbc="T T T"
Sr 0.000 0.000 0.000
Sr 3.703 2.141 0.000
Pm -1.237 2.141 3.585
Nd 2.466 0.000 3.585
Se -0.012 0.000 5.304
Se 1.221 2.141 1.859
Se 3.711 2.141 5.311
Se 4.945 0.000 1.866
```

---

[4]
Entry from Alexandria: a geometry-optimized TeWSe2 structure (PBE).

Computed properties:
Formation energy (no corrections)   0.7 eV per formula unit

Geometry as extended XYZ:
```
4
Lattice="1.679 0.969 9.181 -1.679 0.969 9.181 0.000 -1.939 9.181" Properties=species:S:1:pos:R:3 pbc="T T T"
Te 0.000 0.000 0.000
W 0.000 0.000 20.335
Se 0.000 0.000 6.533
Se 0.000 0.000 12.817
```

---

[5]
Entry from Alexandria: a geometry-optimized SiAs2PSe structure (PBE).

Computed properties:
Formation energy (no corrections)   5.9 eV per formula unit

Geometry as extended XYZ:
```
5
Lattice="5.028 0.000 0.000 0.000 5.028 0.000 0.000 0.000 4.723" Properties=species:S:1:pos:R:3 pbc="T T T"
Si 0.000 0.000 0.000
As 0.000 2.514 2.361
As 2.514 0.000 2.361
P 2.514 2.514 0.000
Se 2.514 2.514 2.361
```

---

[6]
Entry from Alexandria: a geometry-optimized Zr2TcHgC structure (PBE).

Computed properties:
Energy relative to the elements   -327 meV/atom

Geometry as extended XYZ:
```
5
Lattice="4.655 0.000 0.000 0.000 4.655 0.000 0.000 0.000 4.007" Properties=species:S:1:pos:R:3 pbc="T T T"
Zr 0.000 2.327 0.000
Zr 2.327 0.000 0.000
Tc 0.000 0.000 2.004
Hg 2.327 2.327 2.004
C 0.000 0.000 0.000
```

---

[7]
Entry from Alexandria: a geometry-optimized ZrInCu2 structure (PBE).

Computed properties:
Energy relative to the elements   -63 meV/atom

Geometry as extended XYZ:
```
4
Lattice="4.449 0.000 0.000 0.000 4.449 0.000 0.000 0.000 3.515" Properties=species:S:1:pos:R:3 pbc="T T T"
Zr 0.000 0.000 0.000
In 2.224 2.224 0.000
Cu 0.000 2.224 1.758
Cu 2.224 0.000 1.758
```

---

[8]
Entry from Alexandria: a geometry-optimized ReIr3Pd structure (PBE).

Computed properties:
Energy relative to the elements   2653 meV/atom

Geometry as extended XYZ:
```
5
Lattice="4.646 0.000 0.000 0.000 4.646 0.000 0.000 0.000 4.646" Properties=species:S:1:pos:R:3 pbc="T T T"
Re 0.000 0.000 0.000
Ir 0.000 2.323 2.323
Ir 2.323 0.000 2.323
Ir 2.323 2.323 0.000
Pd 2.323 2.323 2.323
```

---

[9]
Entry from Alexandria: a geometry-optimized CdSbTe3 structure (PBE).

Computed properties:
Formation energy (no corrections)   2.2 eV per formula unit

Geometry as extended XYZ:
```
5
Lattice="5.741 0.000 0.000 0.000 5.741 0.000 0.000 0.000 5.741" Properties=species:S:1:pos:R:3 pbc="T T T"
Cd 0.000 0.000 0.000
Sb 2.871 2.871 2.871
Te 0.000 2.871 2.871
Te 2.871 0.000 2.871
Te 2.871 2.871 0.000
```

---

[10]
Entry from Alexandria: a geometry-optimized PmErCdSn structure (PBE).

Computed properties:
Energy relative to the elements   -499 meV/atom

Geometry as extended XYZ:
```
4
Lattice="0.000 3.767 3.767 3.767 0.000 3.767 3.767 3.767 0.000" Properties=species:S:1:pos:R:3 pbc="T T T"
Pm 0.000 0.000 0.000
Er 3.767 3.767 3.767
Cd 1.884 1.884 1.884
Sn 5.651 5.651 5.651
```

---

[11]
Entry from Alexandria: a geometry-optimized MnCo2PdBr structure (PBE).

Computed properties:
Formation energy (no corrections)   4.9 eV per formula unit

Geometry as extended XYZ:
```
5
Lattice="4.294 0.000 0.000 0.000 4.294 0.000 0.000 0.000 4.538" Properties=species:S:1:pos:R:3 pbc="T T T"
Mn 0.000 0.000 0.000
Co 0.000 2.147 2.269
Co 2.147 0.000 2.269
Pd 2.147 2.147 0.000
Br 0.000 0.000 2.269
```

---

[12]
Entry from Alexandria: a geometry-optimized FeMoP2 structure (PBE).

Computed properties:
Energy relative to the elements   -24 meV/atom

Geometry as extended XYZ:
```
4
Lattice="1.479 0.854 7.179 -1.479 0.854 7.179 0.000 -1.708 7.179" Properties=species:S:1:pos:R:3 pbc="T T T"
Fe 0.000 0.000 0.000
Mo 0.000 0.000 16.476
P 0.000 0.000 5.718
P 0.000 0.000 11.009
```

---

no.,mass density (g/cm3)
1,8.7
2,6.4
3,5.7
4,8.7
5,4.0
6,9.4
7,8.0
8,14.4
9,5.4
10,8.4
11,7.1
12,6.5